(1)
Material: Zr2AsN
Method: DFT, GGA-PBE
State: optimized geometry

Values from the calculation:
Uncorrected formation energy   -384 meV/atom
Total energy   -31.6 eV per cell
Energy above the lowest structure with this stoichiometry   893 meV per atom
Spin magnetization   0.0 μB per cell

Geometry as POSCAR:
```
Zr2AsN
1.0
0.000 3.168 3.168
3.168 0.000 3.168
3.168 3.168 0.000
Zr As N
2 1 1
direct
0.250 0.250 0.250
0.750 0.750 0.750
0.000 0.000 0.000
0.500 0.500 0.500
```

(2)
Material: LiBe
Method: DFT, GGA-PBE
State: optimized geometry

Values from the calculation:
ΔH_f (0 K)   1.1168 eV/atom
Total energy   -6.8 eV per cell
Energy above the lowest structure with this stoichiometry   987 meV per atom
Spin magnetization   0.0 μB per cell

Geometry as POSCAR:
```
LiBe
1.0
4.159 0.000 0.000
-2.080 3.602 0.000
0.000 0.000 4.737
Li Be
2 2
direct
0.333 0.667 0.250
0.667 0.333 0.750
0.333 0.667 0.750
0.667 0.333 0.250
```

Question: The highest energy above the lowest structure with this stoichiometry belongs to which entry?
Answer: LiBe